Density functional theory data (PBE+U) for crystalline KAcVO5 at its relaxed geometry.

Summary:
As for the symmetry: C2/c (15). For the total energy, the calculation gives -110.4 eV/cell.

abc: 6.4093 6.4093 8.5805
angles: 103.02 103.02 105.73
Site moments in Bohr magnetons follow the coordinates.
Sites, in units of the cell vectors:
K 0.3369 0.6631 0.2500  0.00
K 0.6631 0.3369 0.7500  0.00
Ac 0.0000 0.0000 0.5000  0.04
Ac 0.0000 0.0000 0.0000  0.04
V 0.6792 0.3208 0.2500  0.04
V 0.3208 0.6792 0.7500  0.04
O 0.0703 0.9297 0.2500  0.14
O 0.9297 0.0703 0.7500  0.14
O 0.8787 0.3185 0.1391  -0.07
O 0.1213 0.6815 0.8609  -0.07
O 0.6815 0.1213 0.3609  -0.07
O 0.3185 0.8787 0.6391  -0.07
O 0.7446 0.5899 0.3886  -0.05
O 0.2554 0.4101 0.6114  -0.05
O 0.4101 0.2554 0.1114  -0.05
O 0.5899 0.7446 0.8886  -0.05